Density functional theory data (PBE) for NpPaNi after structural relaxation.

Cell and atoms, written as POSCAR:
```
NpPaNi
1.0
3.300 0.000 0.000
0.000 3.300 0.000
0.000 0.000 10.309
Np Pa Ni
2 2 2
direct
0.250 0.250 0.056
0.750 0.750 0.944
0.250 0.250 0.712
0.750 0.750 0.288
0.250 0.250 0.436
0.750 0.750 0.564
```

The size of the total moment is 0.00 μB per atom. The energy of formation from the pure elements comes out at 0.019 eV per atom.